(1)
Below is a relaxed Cs4Y3ScTe8 crystal, with properties calculated at the GGA-PBE level.

Cell: 10.311 10.311 10.311 Å, 51.91 51.91 51.91°
Fractional positions:
1 Cs 0.000 0.000 0.000
2 Cs 0.000 0.500 0.500
3 Cs 0.500 0.000 0.500
4 Cs 0.500 0.500 0.000
5 Y 0.000 0.000 0.500
6 Y 0.000 0.500 0.000
7 Y 0.500 0.000 0.000
8 Sc 0.500 0.500 0.500
9 Te 0.230 0.230 0.230
10 Te 0.239 0.724 0.724
11 Te 0.276 0.276 0.761
12 Te 0.276 0.761 0.276
13 Te 0.724 0.239 0.724
14 Te 0.724 0.724 0.239
15 Te 0.761 0.276 0.276
16 Te 0.770 0.770 0.770

Calculated values
calculated total energy: -4.748 eV per atom
total magnetization: 0.00 μB per cell
formation energy without anion corrections: -1.356 eV per atom
V: 39.225 Å³/atom


(2)
Below is a relaxed Cs2YScTe4 crystal, with properties calculated at the GGA-PBE level.

Cell: 7.740 4.467 9.241 Å, 90.00 106.18 90.00°
Fractional positions:
1 Cs 0.000 0.000 0.000
2 Cs 0.500 0.500 0.000
3 Y 0.000 0.500 0.500
4 Sc 0.500 0.000 0.500
5 Te 0.240 0.000 0.688
6 Te 0.283 0.500 0.317
7 Te 0.717 0.500 0.683
8 Te 0.760 0.000 0.312

Calculated values
calculated total energy: -4.695 eV per atom
total magnetization: 0.00 μB per cell
formation energy without anion corrections: -1.311 eV per atom
V: 38.353 Å³/atom


(3)
Below is a relaxed CsYScTe3 crystal, with properties calculated at the GGA-PBE level.

Cell: 10.224 4.636 11.138 Å, 90.00 111.54 90.00°
Fractional positions:
1 Cs 0.216 0.250 0.241
2 Cs 0.784 0.750 0.759
3 Y 0.337 0.750 0.867
4 Y 0.663 0.250 0.133
5 Sc 0.087 0.250 0.609
6 Sc 0.913 0.750 0.391
7 Te 0.126 0.250 0.870
8 Te 0.212 0.750 0.551
9 Te 0.474 0.750 0.160
10 Te 0.526 0.250 0.840
11 Te 0.788 0.250 0.449
12 Te 0.874 0.750 0.130

Calculated values
calculated total energy: -5.091 eV per atom
total magnetization: 0.41 μB per cell
formation energy without anion corrections: -1.246 eV per atom
V: 40.919 Å³/atom


(4)
Below is a relaxed Cs3Y3ScTe8 crystal, with properties calculated at the GGA-PBE level.

Cell: 10.548 10.548 10.548 Å, 49.06 49.06 49.06°
Fractional positions:
1 Cs 0.000 0.500 0.500
2 Cs 0.500 0.000 0.500
3 Cs 0.500 0.500 0.000
4 Y 0.000 0.000 0.500
5 Y 0.000 0.500 0.000
6 Y 0.500 0.000 0.000
7 Sc 0.500 0.500 0.500
8 Te 0.231 0.231 0.231
9 Te 0.239 0.723 0.723
10 Te 0.277 0.277 0.761
11 Te 0.277 0.761 0.277
12 Te 0.723 0.239 0.723
13 Te 0.723 0.723 0.239
14 Te 0.761 0.277 0.277
15 Te 0.769 0.769 0.769

Calculated values
calculated total energy: -4.863 eV per atom
total magnetization: 0.00 μB per cell
formation energy without anion corrections: -1.301 eV per atom
V: 41.004 Å³/atom


(5)
Below is a relaxed Cs3YSc3Te8 crystal, with properties calculated at the GGA-PBE level.

Cell: 10.388 10.388 10.388 Å, 48.45 48.45 48.45°
Fractional positions:
1 Cs 0.000 0.500 0.500
2 Cs 0.500 0.000 0.500
3 Cs 0.500 0.500 0.000
4 Y 0.500 0.500 0.500
5 Sc 0.000 0.000 0.500
6 Sc 0.000 0.500 0.000
7 Sc 0.500 0.000 0.000
8 Te 0.214 0.737 0.737
9 Te 0.227 0.227 0.227
10 Te 0.263 0.263 0.786
11 Te 0.263 0.786 0.263
12 Te 0.737 0.214 0.737
13 Te 0.737 0.737 0.214
14 Te 0.773 0.773 0.773
15 Te 0.786 0.263 0.263

Calculated values
calculated total energy: -4.774 eV per atom
total magnetization: 0.00 μB per cell
formation energy without anion corrections: -1.230 eV per atom
V: 38.379 Å³/atom


(6)
Below is a relaxed Cs2ScZnTe4 crystal, with properties calculated at the GGA-PBE level.

Cell: 7.522 7.522 7.522 Å, 104.46 104.46 120.03°
Fractional positions:
1 Cs 0.000 0.500 0.500
2 Cs 0.500 0.000 0.500
3 Sc 0.000 0.000 0.000
4 Zn 0.500 0.500 0.000
5 Te 0.106 0.418 0.000
6 Te 0.418 0.106 0.000
7 Te 0.582 0.582 0.689
8 Te 0.894 0.894 0.311

Calculated values
calculated total energy: -3.528 eV per atom
total magnetization: 0.01 μB per cell
formation energy without anion corrections: -0.794 eV per atom
V: 39.895 Å³/atom


(7)
Below is a relaxed Cs2ScZn2Te4 crystal, with properties calculated at the GGA-PBE level.

Cell: 8.626 8.626 8.787 Å, 107.61 107.61 30.45°
Fractional positions:
1 Cs 0.132 0.132 0.064
2 Cs 0.868 0.868 0.936
3 Sc 0.000 0.000 0.500
4 Zn 0.327 0.327 0.522
5 Zn 0.673 0.673 0.478
6 Te 0.193 0.193 0.659
7 Te 0.486 0.486 0.720
8 Te 0.514 0.514 0.280
9 Te 0.807 0.807 0.341

Calculated values
calculated total energy: -3.397 eV per atom
total magnetization: 0.50 μB per cell
formation energy without anion corrections: -0.825 eV per atom
V: 34.955 Å³/atom


(8)
Below is a relaxed Cs3ZrSc2Te6 crystal, with properties calculated at the GGA-PBE level.

Cell: 7.487 7.487 9.247 Å, 97.76 97.76 119.99°
Fractional positions:
1 Cs 0.000 0.000 0.000
2 Cs 0.333 0.667 0.000
3 Cs 0.667 0.333 0.000
4 Zr 0.500 0.500 0.500
5 Sc 0.167 0.833 0.500
6 Sc 0.833 0.167 0.500
7 Te 0.107 0.439 0.317
8 Te 0.229 0.229 0.683
9 Te 0.439 0.107 0.317
10 Te 0.561 0.893 0.683
11 Te 0.771 0.771 0.317
12 Te 0.893 0.561 0.683

Calculated values
calculated total energy: -4.678 eV per atom
total magnetization: 0.06 μB per cell
formation energy without anion corrections: -1.126 eV per atom
V: 36.018 Å³/atom


(9)
Below is a relaxed Cs4ZrSc3Te8 crystal, with properties calculated at the GGA-PBE level.

Cell: 8.677 8.677 10.202 Å, 115.23 115.23 59.95°
Fractional positions:
1 Cs 0.000 0.000 0.000
2 Cs 0.000 0.500 0.000
3 Cs 0.500 0.000 0.000
4 Cs 0.500 0.500 0.000
5 Zr 0.000 0.000 0.500
6 Sc 0.000 0.500 0.500
7 Sc 0.500 0.000 0.500
8 Sc 0.500 0.500 0.500
9 Te 0.227 0.227 0.683
10 Te 0.227 0.729 0.683
11 Te 0.271 0.773 0.317
12 Te 0.273 0.273 0.319
13 Te 0.727 0.727 0.681
14 Te 0.729 0.227 0.683
15 Te 0.773 0.271 0.317
16 Te 0.773 0.773 0.317

Calculated values
calculated total energy: -4.660 eV per atom
total magnetization: 0.24 μB per cell
formation energy without anion corrections: -1.154 eV per atom
V: 36.172 Å³/atom


(10)
Below is a relaxed Cs2ZrSc2Te6 crystal, with properties calculated at the GGA-PBE level.

Cell: 7.306 7.306 9.483 Å, 97.43 97.43 120.03°
Fractional positions:
1 Cs 0.166 0.834 0.000
2 Cs 0.834 0.166 0.000
3 Zr 0.000 0.000 0.500
4 Sc 0.332 0.668 0.500
5 Sc 0.668 0.332 0.500
6 Te 0.064 0.393 0.682
7 Te 0.274 0.274 0.319
8 Te 0.393 0.064 0.682
9 Te 0.607 0.936 0.318
10 Te 0.726 0.726 0.681
11 Te 0.936 0.607 0.318

Calculated values
calculated total energy: -4.959 eV per atom
total magnetization: 0.00 μB per cell
formation energy without anion corrections: -1.162 eV per atom
V: 38.478 Å³/atom


(11)
Below is a relaxed CsScTi3 crystal, with properties calculated at the GGA-PBE level.

Cell: 5.231 5.231 5.231 Å, 90.00 90.00 90.00°
Fractional positions:
1 Cs 0.000 0.000 0.000
2 Sc 0.500 0.500 0.500
3 Ti 0.000 0.500 0.500
4 Ti 0.500 0.000 0.500
5 Ti 0.500 0.500 0.000

Calculated values
calculated total energy: -4.700 eV per atom
excess energy over the best structure of this formula in the dataset: 0.0 meV/atom
total magnetization: 4.23 μB per cell
formation energy from the elements: 1.473 eV/atom
V: 28.621 Å³/atom


(12)
Below is a relaxed CsSc3Ti crystal, with properties calculated at the GGA-PBE level.

Cell: 5.424 5.424 5.424 Å, 90.00 90.00 90.00°
Fractional positions:
1 Cs 0.000 0.000 0.000
2 Sc 0.000 0.500 0.500
3 Sc 0.500 0.000 0.500
4 Sc 0.500 0.500 0.000
5 Ti 0.500 0.500 0.500

Calculated values
calculated total energy: -4.750 eV per atom
total magnetization: 1.59 μB per cell
formation energy from the elements: 0.798 eV/atom
V: 31.913 Å³/atom


(13)
Below is a relaxed CsScTi3 crystal, with properties calculated at the GGA-PBE level.

Cell: 4.964 4.964 4.964 Å, 90.00 90.00 90.00°
Fractional positions:
1 Cs 0.000 0.000 0.000
2 Sc 0.500 0.500 0.500
3 Ti 0.000 0.000 0.500
4 Ti 0.000 0.500 0.000
5 Ti 0.500 0.000 0.000

Calculated values
calculated total energy: -4.435 eV per atom
excess energy over the best structure of this formula in the dataset: 265.1 meV/atom
total magnetization: 0.25 μB per cell
formation energy from the elements: 1.739 eV/atom
V: 24.465 Å³/atom


(14)
Below is a relaxed CsSc3Tl crystal, with properties calculated at the GGA-PBE level.

Cell: 5.301 5.301 5.301 Å, 90.00 90.00 90.00°
Fractional positions:
1 Cs 0.000 0.000 0.000
2 Sc 0.000 0.000 0.500
3 Sc 0.000 0.500 0.000
4 Sc 0.500 0.000 0.000
5 Tl 0.500 0.500 0.500

Calculated values
calculated total energy: -3.115 eV per atom
excess energy over the best structure of this formula in the dataset: 718.1 meV/atom
total magnetization: 0.00 μB per cell
formation energy from the elements: 1.328 eV/atom
V: 29.785 Å³/atom


(15)
Below is a relaxed CsSc2Tl2 crystal, with properties calculated at the GGA-PBE level.

Cell: 6.965 6.965 6.965 Å, 134.71 134.71 65.98°
Fractional positions:
1 Cs 0.000 0.000 0.000
2 Sc 0.250 0.750 0.500
3 Sc 0.750 0.250 0.500
4 Tl 0.369 0.369 0.000
5 Tl 0.631 0.631 0.000

Calculated values
calculated total energy: -3.478 eV per atom
excess energy over the best structure of this formula in the dataset: 167.6 meV/atom
total magnetization: 0.00 μB per cell
formation energy from the elements: 0.172 eV/atom
V: 33.606 Å³/atom


(16)
Below is a relaxed CsSc3Tl crystal, with properties calculated at the GGA-PBE level.

Cell: 5.651 5.651 5.651 Å, 90.00 90.00 90.00°
Fractional positions:
1 Cs 0.000 0.000 0.000
2 Sc 0.000 0.500 0.500
3 Sc 0.500 0.000 0.500
4 Sc 0.500 0.500 0.000
5 Tl 0.500 0.500 0.500

Calculated values
calculated total energy: -3.833 eV per atom
excess energy over the best structure of this formula in the dataset: 0.0 meV/atom
total magnetization: 0.00 μB per cell
formation energy from the elements: 0.609 eV/atom
V: 36.085 Å³/atom


(17)
Below is a relaxed CsScTl4 crystal, with properties calculated at the GGA-PBE level.

Cell: 3.928 3.928 12.928 Å, 95.30 95.30 82.76°
Fractional positions:
1 Cs 0.000 0.000 0.000
2 Sc 0.500 0.500 0.500
3 Tl 0.030 0.030 0.370
4 Tl 0.456 0.456 0.774
5 Tl 0.544 0.544 0.226
6 Tl 0.970 0.970 0.630

Calculated values
calculated total energy: -2.845 eV per atom
total magnetization: 0.00 μB per cell
formation energy from the elements: -0.070 eV/atom
V: 32.723 Å³/atom


(18)
Below is a relaxed CsSc2Tl2 crystal, with properties calculated at the GGA-PBE level.

Cell: 9.352 9.352 3.330 Å, 90.00 90.00 90.00°
Fractional positions:
1 Cs 0.000 0.000 0.000
2 Cs 0.500 0.500 0.000
3 Sc 0.122 0.378 0.000
4 Sc 0.378 0.878 0.000
5 Sc 0.622 0.122 0.000
6 Sc 0.878 0.622 0.000
7 Tl 0.170 0.670 0.500
8 Tl 0.330 0.170 0.500
9 Tl 0.670 0.830 0.500
10 Tl 0.830 0.330 0.500

Calculated values
calculated total energy: -3.645 eV per atom
excess energy over the best structure of this formula in the dataset: 0.0 meV/atom
total magnetization: 0.41 μB per cell
formation energy from the elements: 0.005 eV/atom
V: 29.124 Å³/atom


(19)
Below is a relaxed CsScV3 crystal, with properties calculated at the GGA-PBE level.

Cell: 5.205 5.205 5.205 Å, 90.00 90.00 90.00°
Fractional positions:
1 Cs 0.000 0.000 0.000
2 Sc 0.500 0.500 0.500
3 V 0.000 0.500 0.500
4 V 0.500 0.000 0.500
5 V 0.500 0.500 0.000

Calculated values
calculated total energy: -5.032 eV per atom
excess energy over the best structure of this formula in the dataset: 0.0 meV/atom
total magnetization: 8.74 μB per cell
formation energy from the elements: 1.876 eV/atom
V: 28.196 Å³/atom


(20)
Below is a relaxed CsScV3 crystal, with properties calculated at the GGA-PBE level.

Cell: 4.773 4.773 4.773 Å, 90.00 90.00 90.00°
Fractional positions:
1 Cs 0.000 0.000 0.000
2 Sc 0.500 0.500 0.500
3 V 0.000 0.000 0.500
4 V 0.000 0.500 0.000
5 V 0.500 0.000 0.000

Calculated values
calculated total energy: -4.683 eV per atom
excess energy over the best structure of this formula in the dataset: 349.6 meV/atom
total magnetization: 0.00 μB per cell
formation energy from the elements: 2.225 eV/atom
V: 21.744 Å³/atom


(21)
Below is a relaxed Cs2ScV crystal, with properties calculated at the GGA-PBE level.

Cell: 6.336 6.336 6.336 Å, 60.00 60.00 60.00°
Fractional positions:
1 Cs 0.250 0.250 0.250
2 Cs 0.750 0.750 0.750
3 Sc 0.000 0.000 0.000
4 V 0.500 0.500 0.500

Calculated values
calculated total energy: -2.789 eV per atom
excess energy over the best structure of this formula in the dataset: 226.2 meV/atom
total magnetization: 4.22 μB per cell
formation energy from the elements: 1.501 eV/atom
V: 44.966 Å³/atom


(22)
Below is a relaxed Cs2ScV crystal, with properties calculated at the GGA-PBE level.

Cell: 10.223 10.223 10.223 Å, 93.15 93.15 152.90°
Fractional positions:
1 Cs 0.375 0.198 0.323
2 Cs 0.802 0.125 0.177
3 Cs 0.875 0.052 0.677
4 Cs 0.948 0.625 0.823
5 Sc 0.250 0.750 0.500
6 Sc 0.500 0.500 0.000
7 V 0.000 0.000 0.000
8 V 0.750 0.250 0.500

Calculated values
calculated total energy: -3.015 eV per atom
excess energy over the best structure of this formula in the dataset: 0.0 meV/atom
total magnetization: 6.74 μB per cell
formation energy from the elements: 1.274 eV/atom
V: 59.131 Å³/atom


(23)
Below is a relaxed CsSc2V crystal, with properties calculated at the GGA-PBE level.

Cell: 5.329 5.329 5.329 Å, 60.00 60.00 60.00°
Fractional positions:
1 Cs 0.000 0.000 0.000
2 Sc 0.250 0.250 0.250
3 Sc 0.750 0.750 0.750
4 V 0.500 0.500 0.500

Calculated values
calculated total energy: -4.612 eV per atom
total magnetization: 4.48 μB per cell
formation energy from the elements: 1.046 eV/atom
V: 26.754 Å³/atom


(24)
Below is a relaxed CsSc3V crystal, with properties calculated at the GGA-PBE level.

Cell: 5.222 5.222 5.222 Å, 90.00 90.00 90.00°
Fractional positions:
1 Cs 0.000 0.000 0.000
2 Sc 0.000 0.000 0.500
3 Sc 0.000 0.500 0.000
4 Sc 0.500 0.000 0.000
5 V 0.500 0.500 0.500

Calculated values
calculated total energy: -4.057 eV per atom
excess energy over the best structure of this formula in the dataset: 983.4 meV/atom
total magnetization: 3.49 μB per cell
formation energy from the elements: 1.737 eV/atom
V: 28.485 Å³/atom